The following is a DFT calculation (PBE) of BaInSn6 after structural relaxation.

Values from the calculation:
- volume (Å³/cell) = 247.2
- symmetry = No. 38
- VASP energy (eV/atom) = -3.77

a = 4.7642 Å, b = 7.4728 Å, c = 7.4728 Å
α = 111.71°, β = 90.00°, γ = 90.00°
Sites, in units of the cell vectors:
1 Sn 0.5000 0.9402 0.0598
2 Sn 0.0000 0.0095 0.3701
3 In 0.0000 0.1482 0.8518
4 Ba 0.5000 0.3903 0.6097
5 Sn 0.0000 0.6299 0.9905
6 Sn 0.0000 0.6066 0.3934
7 Sn 0.5000 0.3907 0.1157
8 Sn 0.5000 0.8843 0.6093

***

The following is a DFT calculation (PBE) of BaIn2Sn after structural relaxation.

Values from the calculation:
- volume (Å³/cell) = 270.3
- symmetry = No. 11
- VASP energy (eV/atom) = -3.25

a = 4.9426 Å, b = 5.3894 Å, c = 10.4406 Å
α = 103.65°, β = 90.00°, γ = 90.00°
Sites, in units of the cell vectors:
1 In 0.7500 0.9399 0.0563
2 Sn 0.7500 0.1786 0.3390
3 In 0.2500 0.2476 0.5117
4 Ba 0.2500 0.6031 0.2163
5 In 0.2500 0.0601 0.9437
6 In 0.7500 0.7524 0.4883
7 Sn 0.2500 0.8214 0.6610
8 Ba 0.7500 0.3969 0.7837

***

The following is a DFT calculation (PBE) of Ba2In2Sn after structural relaxation.

Values from the calculation:
- volume (Å³/cell) = 383.2
- symmetry = No. 12
- ΔE to the lowest computed polymorph (meV per atom) = 0
- VASP energy (eV/atom) = -3.15

a = 4.8515 Å, b = 7.1268 Å, c = 12.1035 Å
α = 80.27°, β = 78.44°, γ = 70.10°
Sites, in units of the cell vectors:
1 Ba 0.1018 0.6911 0.1053
2 Sn 0.5589 0.1913 0.6910
3 In 0.3807 0.1282 0.1103
4 In 0.6193 0.8718 0.8897
5 Ba 0.2886 0.7697 0.6532
6 Ba 0.7114 0.2303 0.3468
7 In 0.0655 0.3059 0.5631
8 Ba 0.8982 0.3089 0.8947
9 Sn 0.4411 0.8087 0.3090
10 In 0.9345 0.6941 0.4369

***

The following is a DFT calculation (PBE) of Ba2InSn7 after structural relaxation.

Values from the calculation:
- volume (Å³/cell) = 337.6
- symmetry = No. 115
- VASP energy (eV/atom) = -3.77

a = 5.4771 Å, b = 5.4771 Å, c = 11.2555 Å
α = 90.00°, β = 90.00°, γ = 90.00°
Sites, in units of the cell vectors:
1 Sn 0.0000 0.0000 0.0000
2 Ba 0.5000 0.0000 0.7492
3 Sn 0.0000 0.0000 0.5000
4 Sn 0.0000 0.5000 0.6173
5 Sn 0.5000 0.0000 0.3827
6 Sn 0.5000 0.0000 0.1162
7 Sn 0.0000 0.5000 0.8838
8 Sn 0.5000 0.5000 0.5000
9 In 0.5000 0.5000 0.0000
10 Ba 0.0000 0.5000 0.2508

***

The following is a DFT calculation (PBE) of Ba2In7Sn after structural relaxation.

Values from the calculation:
- volume (Å³/cell) = 314.7
- symmetry = No. 115
- VASP energy (eV/atom) = -3.05

a = 5.1039 Å, b = 5.1039 Å, c = 12.0804 Å
α = 90.00°, β = 90.00°, γ = 90.00°
Sites, in units of the cell vectors:
1 In 0.5000 0.5000 0.5000
2 Ba 0.5000 0.0000 0.7473
3 In 0.0000 0.0000 0.5000
4 In 0.5000 0.0000 0.1332
5 Ba 0.0000 0.5000 0.2527
6 In 0.5000 0.0000 0.3698
7 In 0.0000 0.5000 0.6302
8 Sn 0.5000 0.5000 0.0000
9 In 0.0000 0.0000 0.0000
10 In 0.0000 0.5000 0.8668

***

The following is a DFT calculation (PBE) of BaIn2Sn2 after structural relaxation.

Values from the calculation:
- volume (Å³/cell) = 310.6
- symmetry = No. 127
- ΔE to the lowest computed polymorph (meV per atom) = 131
- VASP energy (eV/atom) = -3.30

a = 8.9596 Å, b = 8.9596 Å, c = 3.8692 Å
α = 90.00°, β = 90.00°, γ = 90.00°
Sites, in units of the cell vectors:
1 In 0.1580 0.6580 0.5000
2 Ba 0.0000 0.0000 0.0000
3 In 0.8420 0.3420 0.5000
4 Sn 0.3718 0.8718 0.0000
5 In 0.3420 0.1580 0.5000
6 Sn 0.8718 0.6282 0.0000
7 Sn 0.6282 0.1282 0.0000
8 In 0.6580 0.8420 0.5000
9 Ba 0.5000 0.5000 0.0000
10 Sn 0.1282 0.3718 0.0000

***

The following is a DFT calculation (PBE) of Ba8In2Sn after structural relaxation.

Values from the calculation:
- volume (Å³/cell) = 518.7
- symmetry = No. 12
- ΔE to the lowest computed polymorph (meV per atom) = 0
- VASP energy (eV/atom) = -2.58

a = 6.0553 Å, b = 8.6174 Å, c = 11.0326 Å
α = 109.63°, β = 105.93°, γ = 90.00°
Last column: magnetic moment on the atom in μB.
Sites, in units of the cell vectors:
1 In 0.1819 0.6921 0.3637  -0.01
2 Sn 0.5000 0.0000 0.0000  -0.01
3 Ba 0.6658 0.9511 0.3317  0.02
4 Ba 0.3342 0.0489 0.6683  0.02
5 Ba 0.5977 0.4399 0.1954  0.06
6 Ba 0.0268 0.7860 0.0536  0.04
7 Ba 0.9732 0.2140 0.9464  0.04
8 Ba 0.4023 0.5601 0.8046  0.06
9 In 0.8181 0.3079 0.6363  -0.01
10 Ba 0.2000 0.2996 0.4001  0.01
11 Ba 0.8000 0.7004 0.5999  0.01

***

The following is a DFT calculation (PBE) of BaIn2Sn2 after structural relaxation.

Values from the calculation:
- volume (Å³/cell) = 160.9
- symmetry = No. 139
- ΔE to the lowest computed polymorph (meV per atom) = 0
- VASP energy (eV/atom) = -3.43

a = 5.3537 Å, b = 5.3537 Å, c = 6.7700 Å
α = 66.71°, β = 66.71°, γ = 90.00°
Sites, in units of the cell vectors:
1 In 0.6264 0.6264 0.7473
2 Sn 0.7500 0.2500 0.5000
3 Ba 0.0000 0.0000 0.0000
4 In 0.3736 0.3736 0.2527
5 Sn 0.2500 0.7500 0.5000

***

- What is the VASP energy in the sixth record?
  -3.30 eV/atom